1.
Density functional theory data (PBE) for a geometry-optimized InPIrCl2 structure.

abc: 4.8619 4.8603 5.4496
angles: 90.00 90.00 90.00
With the nearest neighbours (Å) after each atom.
Element x y z (fractional)
1 Cl 0.5000 0.0000 0.0000  2 In 2.43
2 Cl 0.0000 0.5000 0.0000  2 In 2.43
3 P 0.0000 0.0000 0.5000  2 In 2.72
4 In 0.0000 0.0000 0.0000  4 Cl 2.43
5 Ir 0.5000 0.5000 0.5000  4 P 3.44, 8 Cl 3.65

Calculated values
electronic total energy = -15.5 eV per formula unit
energy relative to the elements, uncorrected = 505 kJ/mol of formula units

=====

2.
Density functional theory data (PBE) for a geometry-optimized CaGdS structure.

abc: 6.6331 3.8503 3.8503
angles: 120.00 90.00 90.00
With the nearest neighbours (Å) after each atom.
Element x y z (fractional)
1 Ca 0.7417 0.6667 0.3333  3 S 2.81
2 S 0.0018 0.0000 0.0000  3 Gd 2.79, 3 Ca 2.81
3 Gd 0.2566 0.3333 0.6667  3 S 2.79

Calculated values
electronic total energy = -24.0 eV per formula unit
energy relative to the elements, uncorrected = -367 kJ/mol of formula units

=====

3.
Density functional theory data (PBE) for a geometry-optimized Li5Pr3Cl12 structure.

abc: 13.3486 13.3486 13.3486
angles: 109.47 109.47 109.47
With the nearest neighbours (Å) after each atom.
Element x y z (fractional)
1 Cl 0.1214 0.7119 0.5301  2 Li 2.30-2.56
2 Cl 0.4094 0.1214 0.5913  2 Li 2.30-2.56
3 Cl 0.0906 0.9087 0.3786  2 Li 2.30-2.56
4 Cl 0.5301 0.2119 0.1214  2 Li 2.30-2.56
5 Pr 0.3750 0.7500 0.6250  8 Cl 2.98-2.99
6 Cl 0.3181 0.5301 0.4087  2 Li 2.30-2.56
7 Cl 0.2881 0.8786 0.9699  2 Li 2.30-2.56
8 Cl 0.1819 0.0906 0.7119  2 Li 2.30-2.56
9 Pr 0.7500 0.3750 0.1250  8 Cl 2.98-2.99
10 Cl 0.2119 0.5301 0.6214  2 Li 2.30-2.56
11 Cl 0.9699 0.5913 0.1819  2 Li 2.30-2.56
12 Cl 0.7119 0.5906 0.1819  2 Li 2.30-2.56
13 Pr 0.3750 0.6250 0.2500  8 Cl 2.98-2.99
14 Pr 0.2500 0.6250 0.8750  8 Cl 2.98-2.99
15 Li 0.3750 0.1250 0.7500  4 Cl 2.30
16 Cl 0.0913 0.1819 0.4699  2 Li 2.30-2.56
17 Li 0.7500 0.6250 0.3750  4 Cl 2.30
18 Pr 0.8750 0.1250 0.2500  8 Cl 2.98-2.99
19 Cl 0.7881 0.3181 0.9094  2 Li 2.30-2.56
20 Cl 0.8786 0.5906 0.9087  2 Li 2.30-2.56
21 Cl 0.7119 0.1214 0.0301  2 Li 2.30-2.56
22 Cl 0.3181 0.7881 0.4094  2 Li 2.30-2.56
23 Li 0.5000 0.0000 0.0000  6 Cl 2.56
24 Cl 0.4087 0.0301 0.3181  2 Li 2.30-2.56
25 Cl 0.8181 0.9094 0.2881  2 Li 2.30-2.56
26 Cl 0.6214 0.0301 0.2119  2 Li 2.30-2.56
27 Cl 0.4094 0.2881 0.3181  2 Li 2.30-2.56
28 Li 0.7500 0.1250 0.8750  4 Cl 2.30
29 Cl 0.4699 0.7881 0.8786  2 Li 2.30-2.56
30 Li 0.0000 0.0000 0.0000  6 Cl 2.56
31 Li 0.8750 0.2500 0.6250  4 Cl 2.30
32 Cl 0.6819 0.4699 0.5913  2 Li 2.30-2.56
33 Cl 0.5906 0.7119 0.6819  2 Li 2.30-2.56
34 Cl 0.1214 0.4094 0.0913  2 Li 2.30-2.56
35 Li 0.0000 0.5000 0.5000  6 Cl 2.56
36 Cl 0.4087 0.3786 0.5906  2 Li 2.30-2.56
37 Li 0.1250 0.7500 0.3750  4 Cl 2.30
38 Li 0.5000 0.0000 0.5000  6 Cl 2.56
39 Cl 0.5913 0.6214 0.4094  2 Li 2.30-2.56
40 Li 0.6250 0.8750 0.2500  4 Cl 2.30
41 Pr 0.6250 0.2500 0.3750  8 Cl 2.98-2.99
42 Cl 0.5301 0.3181 0.9087  2 Li 2.30-2.56
43 Pr 0.1250 0.2500 0.8750  8 Cl 2.98-2.99
44 Cl 0.9699 0.3786 0.2881  2 Li 2.30-2.56
45 Pr 0.2500 0.1250 0.3750  8 Cl 2.98-2.99
46 Li 0.5000 0.5000 0.5000  6 Cl 2.56
47 Cl 0.1819 0.0913 0.9699  2 Li 2.30-2.56
48 Li 0.1250 0.3750 0.2500  4 Cl 2.30
49 Cl 0.0301 0.6214 0.7119  2 Li 2.30-2.56
50 Cl 0.8786 0.2881 0.4699  2 Li 2.30-2.56
51 Cl 0.3786 0.4087 0.0906  2 Li 2.30-2.56
52 Cl 0.6214 0.5913 0.9094  2 Li 2.30-2.56
53 Cl 0.5906 0.8786 0.4087  2 Li 2.30-2.56
54 Cl 0.5913 0.9699 0.6819  2 Li 2.30-2.56
55 Li 0.3750 0.2500 0.1250  4 Cl 2.30
56 Li 0.8750 0.6250 0.7500  4 Cl 2.30
57 Cl 0.0906 0.1819 0.2119  2 Li 2.30-2.56
58 Cl 0.7881 0.4699 0.3786  2 Li 2.30-2.56
59 Cl 0.3786 0.9699 0.7881  2 Li 2.30-2.56
60 Li 0.6250 0.7500 0.8750  4 Cl 2.30
61 Cl 0.9094 0.8181 0.7881  2 Li 2.30-2.56
62 Cl 0.0301 0.4087 0.8181  2 Li 2.30-2.56
63 Li 0.0000 0.5000 0.0000  6 Cl 2.56
64 Cl 0.9087 0.0906 0.8786  2 Li 2.30-2.56
65 Cl 0.9087 0.8181 0.5301  2 Li 2.30-2.56
66 Cl 0.0913 0.9094 0.1214  2 Li 2.30-2.56
67 Cl 0.4699 0.6819 0.0913  2 Li 2.30-2.56
68 Cl 0.2881 0.4094 0.8181  2 Li 2.30-2.56
69 Cl 0.2119 0.6819 0.0906  2 Li 2.30-2.56
70 Li 0.2500 0.3750 0.6250  4 Cl 2.30
71 Cl 0.6819 0.2119 0.5906  2 Li 2.30-2.56
72 Li 0.5000 0.5000 0.0000  6 Cl 2.56
73 Pr 0.6250 0.3750 0.7500  8 Cl 2.98-2.99
74 Pr 0.1250 0.8750 0.7500  8 Cl 2.98-2.99
75 Li 0.0000 0.0000 0.5000  6 Cl 2.56
76 Pr 0.7500 0.8750 0.6250  8 Cl 2.98-2.99
77 Cl 0.8181 0.9087 0.0301  2 Li 2.30-2.56
78 Pr 0.8750 0.7500 0.1250  8 Cl 2.98-2.99
79 Cl 0.9094 0.0913 0.6214  2 Li 2.30-2.56
80 Li 0.2500 0.8750 0.1250  4 Cl 2.30

Calculated values
electronic total energy = -84.6 eV per formula unit
energy relative to the elements, uncorrected = -3717 kJ/mol of formula units

=====

4.
Density functional theory data (PBE) for a geometry-optimized Sr12Hg3Au5 structure.

abc: 16.4199 16.4199 16.4199
angles: 109.47 109.47 109.47
With the nearest neighbours (Å) after each atom.
Element x y z (fractional)
1 Sr 0.0821 0.9081 0.1242  2 Au 2.98-3.13
2 Sr 0.9081 0.8261 0.7839  2 Au 2.98-3.13
3 Au 0.6250 0.7500 0.8750  4 Sr 2.98
4 Sr 0.1739 0.0821 0.9579  2 Au 2.98-3.13
5 Sr 0.5919 0.7161 0.6739  2 Au 2.98-3.13
6 Sr 0.3758 0.4179 0.0919  2 Au 2.98-3.13
7 Au 0.5000 0.0000 0.5000  6 Sr 3.13
8 Sr 0.5919 0.8758 0.4179  2 Au 2.98-3.13
9 Au 0.0000 0.5000 0.0000  6 Sr 3.13
10 Au 0.7500 0.6250 0.3750  4 Sr 2.98
11 Sr 0.5421 0.3261 0.9179  2 Au 2.98-3.13
12 Sr 0.1242 0.7161 0.5421  2 Au 2.98-3.13
13 Hg 0.8750 0.7500 0.1250  8 Sr 3.53-3.65
14 Au 0.5000 0.0000 0.0000  6 Sr 3.13
15 Sr 0.7161 0.1242 0.0421  2 Au 2.98-3.13
16 Sr 0.2839 0.4081 0.8261  2 Au 2.98-3.13
17 Au 0.8750 0.2500 0.6250  4 Sr 2.98
18 Sr 0.9579 0.3758 0.2839  2 Au 2.98-3.13
19 Au 0.1250 0.3750 0.2500  4 Sr 2.98
20 Au 0.5000 0.5000 0.5000  6 Sr 3.13
21 Sr 0.5421 0.2161 0.1242  2 Au 2.98-3.13
22 Au 0.0000 0.0000 0.0000  6 Sr 3.13
23 Sr 0.4179 0.0421 0.3261  2 Au 2.98-3.13
24 Hg 0.1250 0.2500 0.8750  8 Sr 3.53-3.65
25 Hg 0.1250 0.8750 0.7500  8 Sr 3.53-3.65
26 Sr 0.6739 0.2161 0.5919  2 Au 2.98-3.13
27 Au 0.3750 0.2500 0.1250  4 Sr 2.98
28 Au 0.5000 0.5000 0.0000  6 Sr 3.13
29 Sr 0.6242 0.0421 0.2161  2 Au 2.98-3.13
30 Au 0.0000 0.5000 0.5000  6 Sr 3.13
31 Sr 0.0421 0.6242 0.7161  2 Au 2.98-3.13
32 Au 0.7500 0.1250 0.8750  4 Sr 2.98
33 Sr 0.8261 0.9179 0.0421  2 Au 2.98-3.13
34 Hg 0.6250 0.3750 0.7500  8 Sr 3.53-3.65
35 Sr 0.9179 0.0919 0.8758  2 Au 2.98-3.13
36 Sr 0.1739 0.0919 0.7161  2 Au 2.98-3.13
37 Sr 0.3261 0.7839 0.4081  2 Au 2.98-3.13
38 Sr 0.3261 0.5421 0.4179  2 Au 2.98-3.13
39 Hg 0.3750 0.6250 0.2500  8 Sr 3.53-3.65
40 Sr 0.4081 0.1242 0.5821  2 Au 2.98-3.13
41 Sr 0.8261 0.9081 0.2839  2 Au 2.98-3.13
42 Sr 0.6242 0.5821 0.9081  2 Au 2.98-3.13
43 Hg 0.2500 0.6250 0.8750  8 Sr 3.53-3.65
44 Sr 0.4579 0.7839 0.8758  2 Au 2.98-3.13
45 Sr 0.7839 0.4579 0.3758  2 Au 2.98-3.13
46 Au 0.3750 0.1250 0.7500  4 Sr 2.98
47 Au 0.6250 0.8750 0.2500  4 Sr 2.98
48 Sr 0.0919 0.9179 0.3758  2 Au 2.98-3.13
49 Sr 0.2839 0.8758 0.9579  2 Au 2.98-3.13
50 Sr 0.5821 0.9579 0.6739  2 Au 2.98-3.13
51 Sr 0.6739 0.4579 0.5821  2 Au 2.98-3.13
52 Au 0.8750 0.6250 0.7500  4 Sr 2.98
53 Sr 0.2161 0.6739 0.0919  2 Au 2.98-3.13
54 Sr 0.4179 0.3758 0.5919  2 Au 2.98-3.13
55 Sr 0.0919 0.1739 0.2161  2 Au 2.98-3.13
56 Sr 0.9179 0.8261 0.5421  2 Au 2.98-3.13
57 Sr 0.0421 0.4179 0.8261  2 Au 2.98-3.13
58 Sr 0.1242 0.4081 0.0821  2 Au 2.98-3.13
59 Sr 0.8758 0.2839 0.4579  2 Au 2.98-3.13
60 Sr 0.5821 0.6242 0.4081  2 Au 2.98-3.13
61 Sr 0.9081 0.0821 0.6242  2 Au 2.98-3.13
62 Au 0.0000 0.0000 0.5000  6 Sr 3.13
63 Au 0.2500 0.3750 0.6250  4 Sr 2.98
64 Sr 0.9579 0.5821 0.1739  2 Au 2.98-3.13
65 Sr 0.4579 0.6739 0.0821  2 Au 2.98-3.13
66 Hg 0.3750 0.7500 0.6250  8 Sr 3.53-3.65
67 Sr 0.4081 0.2839 0.3261  2 Au 2.98-3.13
68 Hg 0.7500 0.8750 0.6250  8 Sr 3.53-3.65
69 Hg 0.6250 0.2500 0.3750  8 Sr 3.53-3.65
70 Au 0.2500 0.8750 0.1250  4 Sr 2.98
71 Sr 0.2161 0.5421 0.6242  2 Au 2.98-3.13
72 Sr 0.7839 0.3261 0.9081  2 Au 2.98-3.13
73 Hg 0.7500 0.3750 0.1250  8 Sr 3.53-3.65
74 Hg 0.2500 0.1250 0.3750  8 Sr 3.53-3.65
75 Sr 0.8758 0.5919 0.9179  2 Au 2.98-3.13
76 Sr 0.0821 0.1739 0.4579  2 Au 2.98-3.13
77 Hg 0.8750 0.1250 0.2500  8 Sr 3.53-3.65
78 Au 0.1250 0.7500 0.3750  4 Sr 2.98
79 Sr 0.3758 0.9579 0.7839  2 Au 2.98-3.13
80 Sr 0.7161 0.5919 0.1739  2 Au 2.98-3.13

Calculated values
energy of formation from the pure elements = -0.40 eV/atom
electronic total energy = -45.4 eV per formula unit

=====

5.
Density functional theory data (PBE) for a geometry-optimized Pm2CoI structure.

abc: 3.5459 3.5459 8.3941
angles: 90.00 90.00 90.00
With the nearest neighbours (Å) after each atom.
Element x y z (fractional)
1 I 0.5000 0.5000 0.5000  4 I 3.55, 8 Pm 3.56
2 Pm 0.0000 0.0000 0.1998  4 Co 3.02, 1 Pm 3.35
3 Co 0.5000 0.5000 0.0000  8 Pm 3.02
4 Pm 0.0000 0.0000 0.8002  4 Co 3.02, 1 Pm 3.35

Calculated values
electronic total energy = -19.6 eV per formula unit
energy relative to the elements, uncorrected = -135 kJ/mol of formula units

=====

6.
Density functional theory data (PBE) for a geometry-optimized LiCaMg2Cu structure.

abc: 4.9971 4.9971 4.8975
angles: 90.00 90.00 90.00
With the nearest neighbours (Å) after each atom.
Element x y z (fractional)
1 Mg 0.0000 0.5000 0.0000  2 Cu 2.50
2 Cu 0.0000 0.0000 0.0000  2 Li 2.45, 4 Mg 2.50
3 Li 0.0000 0.0000 0.5000  2 Cu 2.45
4 Mg 0.5000 0.0000 0.0000  2 Cu 2.50
5 Ca 0.5000 0.5000 0.5000  8 Mg 3.50, 4 Li 3.53

Calculated values
energy of formation from the pure elements = 0.03 eV/atom
electronic total energy = -11.0 eV per formula unit

=====

7.
Density functional theory data (PBE) for a geometry-optimized SrAg4Sb structure.

abc: 5.7643 5.7643 5.7643
angles: 60.00 60.00 60.00
With the nearest neighbours (Å) after each atom.
Element x y z (fractional)
1 Ag 0.8757 0.3748 0.3748  6 Ag 2.88-2.89
2 Sb 0.7500 0.7500 0.7500  12 Ag 3.38, 4 Sr 3.53
3 Ag 0.3748 0.3748 0.8757  6 Ag 2.88-2.89
4 Sr 0.0000 0.0000 0.0000  12 Ag 3.38, 4 Sb 3.53
5 Ag 0.3748 0.8757 0.3748  6 Ag 2.88-2.89
6 Ag 0.3748 0.3748 0.3748  6 Ag 2.88-2.89

Calculated values
electronic total energy = -18.6 eV per formula unit
energy relative to the elements, uncorrected = -134 kJ/mol of formula units

=====

8.
Density functional theory data (PBE) for a geometry-optimized Cs2PPbF6 structure.

abc: 6.2615 6.2615 7.3260
angles: 64.70 64.70 90.00
With the nearest neighbours (Å) after each atom.
Element x y z (fractional)
1 F 0.2805 0.2805 0.0000  1 P 1.94
2 Cs 0.7500 0.2500 0.5000  4 F 3.18
3 P 0.5000 0.5000 0.0000  4 F 1.94
4 F 0.7195 0.2805 0.0000  1 P 1.94
5 Pb 0.0000 0.0000 0.0000  6 F 2.39-2.48
6 F 0.2805 0.7195 0.0000  1 P 1.94
7 F 0.7195 0.7195 0.0000  1 P 1.94
8 Cs 0.2500 0.7500 0.5000  4 F 3.18
9 F 0.2045 0.2045 0.5910  1 Pb 2.39
10 F 0.7955 0.7955 0.4090  1 Pb 2.39

Calculated values
electronic total energy = -44.2 eV per formula unit
energy relative to the elements, uncorrected = -2135 kJ/mol of formula units